[1]
A plane-wave DFT calculation with GGA-PBE was carried out for an optimized crystal structure of PmOsPt.

Unit cell a=4.7587 b=3.3628 c=10.4914 alpha=90.00 beta=90.00 gamma=135.04
Closest atoms and distances in Å follow each position.
Fractional positions:
Os1 0.1946 0.3892 0.5000  8 Pt 2.73
Pt1 0.6946 0.3892 0.6282  1 Pt 2.69, 4 Os 2.73
Os2 0.6942 0.3884 0.0000  8 Pm 2.99-3.00
Pm1 0.1943 0.3886 0.1734  4 Os 2.99-3.00, 4 Pt 3.16
Pt2 0.6946 0.3892 0.3718  1 Pt 2.69, 4 Os 2.73
Pm2 0.1943 0.3886 0.8266  4 Os 2.99-3.00, 4 Pt 3.16

## Properties
DFT formation energy   0.00 eV/atom
Total magnetic moment   0.00 μB/f.u.
Crystal system   tetragonal
Theoretical density   14.85 Mg/m³



[2]
A plane-wave DFT calculation with GGA-PBE was carried out for an optimized crystal structure of ScSi4Os.

Unit cell a=4.9528 b=4.9528 c=4.9528 alpha=60.00 beta=60.00 gamma=60.00
Closest atoms and distances in Å follow each position.
Fractional positions:
Si1 0.3751 0.8747 0.3751  6 Si 2.47-2.48
Si2 0.8747 0.3751 0.3751  6 Si 2.47-2.48
Sc1 0.0000 0.0000 0.0000  12 Si 2.90, 4 Os 3.03
Os1 0.7500 0.7500 0.7500  12 Si 2.90, 4 Sc 3.03
Si3 0.3751 0.3751 0.3751  6 Si 2.47-2.48
Si4 0.3751 0.3751 0.8747  6 Si 2.47-2.48

## Properties
Distance to the lowest polymorph of the same formula   469 meV per atom
ΔE_f (raw)   0.225 eV/atom
Total magnetic moment   0.00 μB/f.u.
Crystal system   cubic
Theoretical density   6.72 Mg/m³